DFT (PBE) results for an optimized crystal structure of PmNbB4.

```
PmNbB4
1.0
6.2190 0.0000 0.0000
0.0000 12.0348 0.0000
0.0000 0.0000 3.6911
Pm Nb B
4 4 16
Direct
0.1260 0.1511 0.0000
0.3740 0.6511 0.0000
0.6260 0.3489 0.0000
0.8740 0.8489 0.0000
0.1323 0.4142 0.0000
0.3677 0.9142 0.0000
0.6323 0.0858 0.0000
0.8677 0.5858 0.0000
0.0243 0.6926 0.5000
0.1145 0.5473 0.5000
0.1336 0.9683 0.5000
0.2092 0.8122 0.5000
0.2908 0.3122 0.5000
0.3664 0.4683 0.5000
0.3855 0.0473 0.5000
0.4757 0.1926 0.5000
0.5243 0.8074 0.5000
0.6145 0.9527 0.5000
0.6336 0.5317 0.5000
0.7092 0.6878 0.5000
0.7908 0.1878 0.5000
0.8664 0.0317 0.5000
0.8855 0.4527 0.5000
0.9757 0.3074 0.5000
```

Results
Space group   No. 55
Energy   -7.4766 eV per atom
Magnetic moment   0.000 μB/atom
Crystal system   orthorhombic


DFT (PBE) results for an optimized crystal structure of Pa2AgPd.

```
Pa2AgPd
1.0
1.5247 0.8803 11.1829
-1.5247 0.8803 11.1829
0.0000 -1.7606 11.1829
Pa Ag Pd
2 1 1
Direct
0.0924 0.0924 0.0924
0.9076 0.9076 0.9076
0.0000 0.0000 0.0000
0.5000 0.5000 0.5000
```

Results
Distance to the lowest polymorph of the same formula   271.3 meV/atom
Space group   No. 166
Energy   -6.5795 eV per atom
Magnetic moment   0.193 μB/atom
Crystal system   trigonal


DFT (PBE) results for an optimized crystal structure of LiSbI3.

```
LiSbI3
1.0
4.4692 0.0000 0.0000
-0.7081 8.3412 0.0000
-2.1951 -3.6286 11.1732
Li Sb I
2 2 6
Direct
0.0000 0.0000 0.0000
0.4043 0.4810 0.9951
0.7843 0.1215 0.6396
0.8776 0.9911 0.3898
0.1156 0.9197 0.7537
0.2084 0.4219 0.7323
0.3463 0.7551 0.4213
0.4093 0.2448 0.3918
0.5061 0.8336 0.0545
0.9155 0.3353 0.0547
```

Results
Formation energy from raw total energies   -607 meV/atom
Distance to the lowest polymorph of the same formula   0.0 meV/atom
Space group   No. 1
Energy   -2.7443 eV per atom
Magnetic moment   0.000 μB/atom
Crystal system   triclinic


DFT (PBE) results for an optimized crystal structure of RbPmGe2Br8.

```
RbPmGe2Br8
1.0
6.7435 0.0000 0.0000
-0.7201 7.3511 0.0000
-0.0862 -0.5144 9.8661
Rb Pm Ge Br
1 1 2 8
Direct
0.0000 0.0000 0.0000
0.0000 0.0000 0.5000
0.4458 0.5543 0.2815
0.5542 0.4457 0.7185
0.2282 0.1841 0.2976
0.2324 0.6824 0.4749
0.2606 0.6285 0.0813
0.2729 0.1388 0.7180
0.7271 0.8612 0.2820
0.7394 0.3715 0.9187
0.7676 0.3176 0.5251
0.7718 0.8159 0.7024
```

Results
Formation energy from raw total energies   -1170 meV/atom
Space group   No. 2
Energy   -3.5310 eV per atom
Magnetic moment   0.000 μB/atom
Crystal system   triclinic


DFT (PBE) results for an optimized crystal structure of VCr2TcN.

```
VCr2TcN
1.0
3.8201 0.0000 0.0000
0.0000 3.8201 0.0000
0.0000 0.0000 3.9312
V Cr Tc N
1 2 1 1
Direct
0.0000 0.0000 0.0000
0.0000 0.5000 0.5000
0.5000 0.0000 0.5000
0.5000 0.5000 0.0000
0.0000 0.0000 0.5000
```

Results
Formation energy from raw total energies   -286 meV/atom
Space group   No. 123
Energy   -9.6975 eV per atom
Magnetic moment   0.001 μB/atom
Crystal system   tetragonal


DFT (PBE) results for an optimized crystal structure of ZrRh2N2.

```
ZrRh2N2
1.0
-1.9475 1.9475 4.1445
1.9475 -1.9475 4.1445
1.9475 1.9475 -4.1445
Zr Rh N
1 2 2
Direct
0.0000 0.0000 0.0000
0.3377 0.3377 0.0000
0.6623 0.6623 0.0000
0.2500 0.7500 0.5000
0.7500 0.2500 0.5000
```

Results
Formation energy from raw total energies   153 meV/atom
Distance to the lowest polymorph of the same formula   0.0 meV/atom
Space group   No. 139
Energy   -7.8278 eV per atom
Magnetic moment   0.000 μB/atom
Crystal system   tetragonal


DFT (PBE) results for an optimized crystal structure of YScGaHg.

```
YScGaHg
1.0
0.0000 3.5661 3.5661
3.5661 0.0000 3.5661
3.5661 3.5661 0.0000
Y Sc Ga Hg
1 1 1 1
Direct
0.0000 0.0000 0.0000
0.5000 0.5000 0.5000
0.7500 0.7500 0.7500
0.2500 0.2500 0.2500
```

Results
Space group   No. 216
Energy   -4.5328 eV per atom
Magnetic moment   0.006 μB/atom
Crystal system   cubic


DFT (PBE) results for an optimized crystal structure of Ac3Er5S12.

```
Ac3Er5S12
1.0
-8.2559 8.2559 8.2559
8.2559 -8.2559 8.2559
8.2559 8.2559 -8.2559
Ac Er S
12 20 48
Direct
0.1250 0.2500 0.3750
0.1250 0.3750 0.7500
0.2500 0.3750 0.1250
0.2500 0.8750 0.6250
0.3750 0.1250 0.2500
0.3750 0.7500 0.1250
0.6250 0.2500 0.8750
0.6250 0.8750 0.7500
0.7500 0.1250 0.3750
0.7500 0.6250 0.8750
0.8750 0.6250 0.2500
0.8750 0.7500 0.6250
0.0000 0.0000 0.0000
0.0000 0.0000 0.5000
0.0000 0.5000 0.0000
0.0000 0.5000 0.5000
0.1250 0.7500 0.8750
0.1250 0.8750 0.2500
0.2500 0.1250 0.8750
0.2500 0.6250 0.3750
0.3750 0.2500 0.6250
0.3750 0.6250 0.7500
0.5000 0.0000 0.0000
0.5000 0.0000 0.5000
0.5000 0.5000 0.0000
0.5000 0.5000 0.5000
0.6250 0.3750 0.2500
0.6250 0.7500 0.3750
0.7500 0.3750 0.6250
0.7500 0.8750 0.1250
0.8750 0.1250 0.7500
0.8750 0.2500 0.1250
0.0380 0.2133 0.1260
0.0380 0.3247 0.9120
0.0873 0.7133 0.6753
0.0873 0.8740 0.4120
0.0880 0.6260 0.4127
0.0880 0.9620 0.6753
0.1260 0.0380 0.2133
0.1260 0.5880 0.9127
0.1753 0.2133 0.5873
0.1753 0.4620 0.5880
0.2133 0.1260 0.0380
0.2133 0.5873 0.1753
0.2867 0.3247 0.9127
0.2867 0.4620 0.3740
0.3247 0.9120 0.0380
0.3247 0.9127 0.2867
0.3740 0.2867 0.4620
0.3740 0.5873 0.9120
0.4120 0.0873 0.8740
0.4120 0.8247 0.5380
0.4127 0.0880 0.6260
0.4127 0.8247 0.7867
0.4620 0.3740 0.2867
0.4620 0.5880 0.1753
0.5380 0.4120 0.8247
0.5380 0.6260 0.7133
0.5873 0.1753 0.2133
0.5873 0.9120 0.3740
0.5880 0.1753 0.4620
0.5880 0.9127 0.1260
0.6260 0.4127 0.0880
0.6260 0.7133 0.5380
0.6753 0.0873 0.7133
0.6753 0.0880 0.9620
0.7133 0.5380 0.6260
0.7133 0.6753 0.0873
0.7867 0.4127 0.8247
0.7867 0.8740 0.9620
0.8247 0.5380 0.4120
0.8247 0.7867 0.4127
0.8740 0.4120 0.0873
0.8740 0.9620 0.7867
0.9120 0.0380 0.3247
0.9120 0.3740 0.5873
0.9127 0.1260 0.5880
0.9127 0.2867 0.3247
0.9620 0.6753 0.0880
0.9620 0.7867 0.8740
```

Results
Formation energy from raw total energies   -2039 meV/atom
Space group   No. 230
Energy   -6.2727 eV per atom
Magnetic moment   0.000 μB/atom
Crystal system   cubic